# CaSb2RhI GGA-PBEsol optimized geometry
# - total energy (hartree per atom) = -0.16160
# - DOS(E_F) (states/eV/atom) = 1.196
data_CaSb2RhI
_space_group_name_H-M_alt 'P 1'
_space_group_IT_number 1
_space_group_name_Hall 'P 1'
_cell_length_a 5.068
_cell_length_b 5.068
_cell_length_c 5.644
_cell_angle_alpha 90.00
_cell_angle_beta 90.00
_cell_angle_gamma 90.00
loop_
_atom_site_label
_atom_site_type_symbol
_atom_site_fract_x
_atom_site_fract_y
_atom_site_fract_z
_atom_site_occupancy
I1 I 0.000 0.000 0.500 1
Sb1 Sb 0.000 0.500 0.000 1
Sb2 Sb 0.500 0.000 0.000 1
Ca1 Ca 0.500 0.500 0.500 1
Rh1 Rh 0.000 0.000 0.000 1



# CaTeRh2I GGA-PBEsol optimized geometry
# - total energy (hartree per atom) = -0.13176
# - DOS(E_F) (states/eV/atom) = 1.525
data_CaTeRh2I
_space_group_name_H-M_alt 'P 1'
_space_group_IT_number 1
_space_group_name_Hall 'P 1'
_cell_length_a 4.849
_cell_length_b 4.849
_cell_length_c 5.428
_cell_angle_alpha 90.00
_cell_angle_beta 90.00
_cell_angle_gamma 90.00
loop_
_atom_site_label
_atom_site_type_symbol
_atom_site_fract_x
_atom_site_fract_y
_atom_site_fract_z
_atom_site_occupancy
I1 I 0.000 0.000 0.500 1
Ca1 Ca 0.000 0.000 0.000 1
Te1 Te 0.500 0.500 0.500 1
Rh1 Rh 0.000 0.500 0.000 1
Rh2 Rh 0.500 0.000 0.000 1



# CaTe2RuI GGA-PBEsol optimized geometry
# - total energy (hartree per atom) = -0.16153
# - DOS(E_F) (states/eV/atom) = 1.277
data_CaTe2RuI
_space_group_name_H-M_alt 'P 1'
_space_group_IT_number 1
_space_group_name_Hall 'P 1'
_cell_length_a 5.166
_cell_length_b 5.166
_cell_length_c 5.462
_cell_angle_alpha 90.00
_cell_angle_beta 90.00
_cell_angle_gamma 90.00
loop_
_atom_site_label
_atom_site_type_symbol
_atom_site_fract_x
_atom_site_fract_y
_atom_site_fract_z
_atom_site_occupancy
I1 I 0.000 0.000 0.500 1
Ru1 Ru 0.000 0.000 0.000 1
Ca1 Ca 0.500 0.500 0.500 1
Te1 Te 0.000 0.500 0.000 1
Te2 Te 0.500 0.000 0.000 1



# CaSb2SI GGA-PBEsol optimized geometry
# - DOS(E_F) (states/eV/atom) = 0.934
# - ΔE to the lowest computed polymorph (eV/atom) = 0.0000
data_CaSb2SI
_space_group_name_H-M_alt 'P 1'
_space_group_IT_number 1
_space_group_name_Hall 'P 1'
_cell_length_a 5.151
_cell_length_b 5.151
_cell_length_c 5.677
_cell_angle_alpha 90.00
_cell_angle_beta 90.00
_cell_angle_gamma 90.00
loop_
_atom_site_label
_atom_site_type_symbol
_atom_site_fract_x
_atom_site_fract_y
_atom_site_fract_z
_atom_site_occupancy
I1 I 0.000 0.000 0.500 1
Sb1 Sb 0.000 0.500 0.000 1
Sb2 Sb 0.500 0.000 0.000 1
Ca1 Ca 0.500 0.500 0.500 1
S1 S 0.000 0.000 0.000 1



# CaSb2SI GGA-PBEsol optimized geometry
# - DOS(E_F) (states/eV/atom) = 1.131
# - ΔE to the lowest computed polymorph (eV/atom) = 0.7537
data_CaSb2SI
_space_group_name_H-M_alt 'P 1'
_space_group_IT_number 1
_space_group_name_Hall 'P 1'
_cell_length_a 5.458
_cell_length_b 5.787
_cell_length_c 5.787
_cell_angle_alpha 90.00
_cell_angle_beta 90.00
_cell_angle_gamma 90.00
loop_
_atom_site_label
_atom_site_type_symbol
_atom_site_fract_x
_atom_site_fract_y
_atom_site_fract_z
_atom_site_occupancy
I1 I 0.500 0.000 0.000 1
Sb1 Sb 0.000 0.000 0.500 1
Sb2 Sb 0.000 0.500 0.000 1
Ca1 Ca 0.000 0.000 0.000 1
S1 S 0.500 0.500 0.500 1



# Ca2TlSI GGA-PBEsol optimized geometry
# - total energy (hartree per atom) = -0.12449
# - DOS(E_F) (states/eV/atom) = 0.635
data_Ca2TlSI
_space_group_name_H-M_alt 'P 1'
_space_group_IT_number 1
_space_group_name_Hall 'P 1'
_cell_length_a 5.329
_cell_length_b 5.329
_cell_length_c 5.997
_cell_angle_alpha 90.00
_cell_angle_beta 90.00
_cell_angle_gamma 90.00
loop_
_atom_site_label
_atom_site_type_symbol
_atom_site_fract_x
_atom_site_fract_y
_atom_site_fract_z
_atom_site_occupancy
I1 I 0.500 0.500 0.500 1
Tl1 Tl 0.000 0.000 0.500 1
S1 S 0.000 0.000 0.000 1
Ca1 Ca 0.000 0.500 0.000 1
Ca2 Ca 0.500 0.000 0.000 1



# CaSbSeI2 GGA-PBEsol optimized geometry
# - total energy (hartree per atom) = -0.10840
# - DOS(E_F) (states/eV/atom) = 0.921
data_CaSbSeI2
_space_group_name_H-M_alt 'P 1'
_space_group_IT_number 1
_space_group_name_Hall 'P 1'
_cell_length_a 5.629
_cell_length_b 5.514
_cell_length_c 5.514
_cell_angle_alpha 90.00
_cell_angle_beta 90.00
_cell_angle_gamma 90.00
loop_
_atom_site_label
_atom_site_type_symbol
_atom_site_fract_x
_atom_site_fract_y
_atom_site_fract_z
_atom_site_occupancy
I1 I 0.000 0.000 0.500 1
I2 I 0.000 0.500 0.000 1
Sb1 Sb 0.500 0.000 0.000 1
Ca1 Ca 0.500 0.500 0.500 1
Se1 Se 0.000 0.000 0.000 1



# CaScTe2I GGA-PBEsol optimized geometry
# - total energy (hartree per atom) = -0.16330
# - DOS(E_F) (states/eV/atom) = 0.149
data_CaScTe2I
_space_group_name_H-M_alt 'P 1'
_space_group_IT_number 1
_space_group_name_Hall 'P 1'
_cell_length_a 5.482
_cell_length_b 5.582
_cell_length_c 5.582
_cell_angle_alpha 90.00
_cell_angle_beta 90.00
_cell_angle_gamma 90.00
loop_
_atom_site_label
_atom_site_type_symbol
_atom_site_fract_x
_atom_site_fract_y
_atom_site_fract_z
_atom_site_occupancy
I1 I 0.500 0.000 0.000 1
Sc1 Sc 0.000 0.000 0.000 1
Ca1 Ca 0.500 0.500 0.500 1
Te1 Te 0.000 0.000 0.500 1
Te2 Te 0.000 0.500 0.000 1